# 1
Computed, not measured: a relaxed structure of NdCoGe at the GGA-PBE level of DFT.

It has space group P-6m2 (No. 187), with a = 4.1396 Å, b = 4.1396 Å, c = 4.0741 Å, α = 90.00°, β = 90.00° and γ = 120.00°. The inequivalent atoms are Nd at (0.0000, 0.0000, 0.0000), Co at (0.3333, 0.6667, 0.5000) and Ge at (0.6667, 0.3333, 0.5000).

For the energy of formation, the calculation gives -1.54 eV per formula unit. As for the crystal system: hexagonal.

=====

# 2
Computed, not measured: a relaxed structure of Li2HgPd7 at the GGA-PBE level of DFT.

It has space group Cmmm (No. 65), with a = 7.232 Å, b = 11.487 Å, c = 4.276 Å, α = 90.00°, β = 90.00° and γ = 90.00°. The inequivalent atoms are Li at (0.000, 0.198, 0.000), Hg at (0.000, 0.500, 0.500), Pd at (0.000, 0.000, 0.000), Pd at (0.000, 0.258, 0.500) and Pd at (0.190, 0.377, 0.000).

For the energy of formation, the calculation gives 2.63 eV per formula unit. As for the crystal system: orthorhombic.

=====

# 3
Computed, not measured: a relaxed structure of Cs2LiSmI6 at the GGA-PBE level of DFT.

It has space group R-3m (No. 166, hexagonal axes), with a = 8.5907 Å, b = 8.5907 Å, c = 43.0043 Å, α = 90.00°, β = 90.00° and γ = 120.00°. The inequivalent atoms are Cs at (0.0000, 0.0000, 0.1226), Cs at (0.0000, 0.0000, 0.2918), Li at (0.0000, 0.0000, 0.0000), Li at (0.0000, 0.0000, 0.5000), Sm at (0.0000, 0.0000, 0.4151), I at (0.0034, 0.5017, 0.1250) and I at (0.0055, 0.5027, 0.7072).

The value obtained for the formation energy without anion corrections is -1445 meV/atom. As for the crystal system: trigonal.

=====

# 4
Computed, not measured: a relaxed structure of LaRe2IN at the GGA-PBE level of DFT.

It has space group P4/mmm (No. 123), with a = 4.150 Å, b = 4.150 Å, c = 5.453 Å, α = 90.00°, β = 90.00° and γ = 90.00°. The inequivalent atoms are La at (0.000, 0.000, 0.000), Re at (0.000, 0.500, 0.500), I at (0.500, 0.500, 0.000) and N at (0.000, 0.000, 0.500).

The value obtained for the formation energy without anion corrections is 336 meV/atom. As for the crystal system: tetragonal.

=====

| no. | VASP energy (eV/atom) | D(E_F) (states/eV/atom) |
| --- | --- | --- |
| 1 | -6.009 | 1.050 |
| 2 | -3.785 | 0.842 |
| 3 | -3.209 | 0.000 |
| 4 | -7.604 | 0.661 |